(1)
# RbTiCr3, relaxed, DFT PBE
data_RbTiCr3
_chemical_formula_sum 'Rb1 Ti1 Cr3'
_space_group_name_H-M_alt 'P 1'
_space_group_IT_number 1
_cell_length_a 4.8635
_cell_length_b 4.8635
_cell_length_c 4.8635
_cell_angle_alpha 90.00
_cell_angle_beta 90.00
_cell_angle_gamma 90.00
loop_
_space_group_symop_operation_xyz
'x,y,z'
loop_
_atom_site_label
_atom_site_type_symbol
_atom_site_fract_x
_atom_site_fract_y
_atom_site_fract_z
Rb1 Rb 0.0000 0.0000 0.0000
Ti1 Ti 0.5000 0.5000 0.5000
Cr1 Cr 0.0000 0.0000 0.5000
Cr2 Cr 0.0000 0.5000 0.0000
Cr3 Cr 0.5000 0.0000 0.0000
# * crystal system: cubic
# * total magnetic moment: 9.19 μB per formula unit
# * ΔE to the lowest computed polymorph: 1120.0 meV per atom
# * N(E_F): 6.7 states/eV per cell
# * E_tot: -24.8 eV/cell

(2)
# RbZrTiCr2, relaxed, DFT PBE
data_RbZrTiCr2
_chemical_formula_sum 'Rb1 Zr1 Ti1 Cr2'
_space_group_name_H-M_alt 'P 1'
_space_group_IT_number 1
_cell_length_a 4.4857
_cell_length_b 4.4857
_cell_length_c 5.1854
_cell_angle_alpha 90.00
_cell_angle_beta 90.00
_cell_angle_gamma 90.00
loop_
_space_group_symop_operation_xyz
'x,y,z'
loop_
_atom_site_label
_atom_site_type_symbol
_atom_site_fract_x
_atom_site_fract_y
_atom_site_fract_z
Rb1 Rb 0.0000 0.0000 0.0000
Zr1 Zr 0.5000 0.5000 0.0000
Ti1 Ti 0.0000 0.0000 0.5000
Cr1 Cr 0.0000 0.5000 0.5000
Cr2 Cr 0.5000 0.0000 0.5000
# * crystal system: tetragonal
# * total magnetic moment: 0.00 μB per formula unit
# * N(E_F): 8.1 states/eV per cell
# * E_tot: -27.2 eV/cell

(3)
# RbTl3Cr, relaxed, DFT PBE
data_RbTl3Cr
_chemical_formula_sum 'Rb1 Tl3 Cr1'
_space_group_name_H-M_alt 'P 1'
_space_group_IT_number 1
_cell_length_a 5.4024
_cell_length_b 5.4024
_cell_length_c 5.4024
_cell_angle_alpha 90.00
_cell_angle_beta 90.00
_cell_angle_gamma 90.00
loop_
_space_group_symop_operation_xyz
'x,y,z'
loop_
_atom_site_label
_atom_site_type_symbol
_atom_site_fract_x
_atom_site_fract_y
_atom_site_fract_z
Rb1 Rb 0.0000 0.0000 0.0000
Tl1 Tl 0.0000 0.5000 0.5000
Tl2 Tl 0.5000 0.0000 0.5000
Tl3 Tl 0.5000 0.5000 0.0000
Cr1 Cr 0.5000 0.5000 0.5000
# * crystal system: cubic
# * total magnetic moment: 1.99 μB per formula unit
# * ΔE to the lowest computed polymorph: 0.0 meV per atom
# * N(E_F): 16.2 states/eV per cell
# * E_tot: -16.5 eV/cell

(4)
# Rb3TlCr, relaxed, DFT PBE
data_Rb3TlCr
_chemical_formula_sum 'Rb3 Tl1 Cr1'
_space_group_name_H-M_alt 'P 1'
_space_group_IT_number 1
_cell_length_a 6.9375
_cell_length_b 6.9375
_cell_length_c 6.9375
_cell_angle_alpha 90.00
_cell_angle_beta 90.00
_cell_angle_gamma 90.00
loop_
_space_group_symop_operation_xyz
'x,y,z'
loop_
_atom_site_label
_atom_site_type_symbol
_atom_site_fract_x
_atom_site_fract_y
_atom_site_fract_z
Rb1 Rb 0.0000 0.0000 0.5000
Rb2 Rb 0.0000 0.5000 0.0000
Rb3 Rb 0.5000 0.0000 0.0000
Tl1 Tl 0.5000 0.5000 0.5000
Cr1 Cr 0.0000 0.0000 0.0000
# * crystal system: cubic
# * total magnetic moment: 5.65 μB per formula unit
# * ΔE to the lowest computed polymorph: 0.0 meV per atom
# * N(E_F): 4.4 states/eV per cell
# * E_tot: -11.3 eV/cell

(5)
# RbTlCr3, relaxed, DFT PBE
data_RbTlCr3
_chemical_formula_sum 'Rb1 Tl1 Cr3'
_space_group_name_H-M_alt 'P 1'
_space_group_IT_number 1
_cell_length_a 5.4506
_cell_length_b 5.4506
_cell_length_c 5.4506
_cell_angle_alpha 90.00
_cell_angle_beta 90.00
_cell_angle_gamma 90.00
loop_
_space_group_symop_operation_xyz
'x,y,z'
loop_
_atom_site_label
_atom_site_type_symbol
_atom_site_fract_x
_atom_site_fract_y
_atom_site_fract_z
Rb1 Rb 0.0000 0.0000 0.0000
Tl1 Tl 0.5000 0.5000 0.5000
Cr1 Cr 0.0000 0.5000 0.5000
Cr2 Cr 0.5000 0.0000 0.5000
Cr3 Cr 0.5000 0.5000 0.0000
# * crystal system: cubic
# * total magnetic moment: 13.98 μB per formula unit
# * ΔE to the lowest computed polymorph: 0.0 meV per atom
# * N(E_F): 2.1 states/eV per cell
# * E_tot: -25.8 eV/cell

(6)
# RbTlCr3, relaxed, DFT PBE
data_RbTlCr3
_chemical_formula_sum 'Rb1 Tl1 Cr3'
_space_group_name_H-M_alt 'P 1'
_space_group_IT_number 1
_cell_length_a 5.9135
_cell_length_b 5.9135
_cell_length_c 5.9135
_cell_angle_alpha 90.00
_cell_angle_beta 90.00
_cell_angle_gamma 90.00
loop_
_space_group_symop_operation_xyz
'x,y,z'
loop_
_atom_site_label
_atom_site_type_symbol
_atom_site_fract_x
_atom_site_fract_y
_atom_site_fract_z
Rb1 Rb 0.0000 0.0000 0.0000
Tl1 Tl 0.5000 0.5000 0.5000
Cr1 Cr 0.0000 0.0000 0.5000
Cr2 Cr 0.0000 0.5000 0.0000
Cr3 Cr 0.5000 0.0000 0.0000
# * crystal system: cubic
# * total magnetic moment: 16.02 μB per formula unit
# * ΔE to the lowest computed polymorph: 910.8 meV per atom
# * N(E_F): 3.0 states/eV per cell
# * E_tot: -21.2 eV/cell

(7)
# RbTl2Cr, relaxed, DFT PBE
data_RbTl2Cr
_chemical_formula_sum 'Rb1 Tl2 Cr1'
_space_group_name_H-M_alt 'P 1'
_space_group_IT_number 1
_cell_length_a 5.5568
_cell_length_b 5.5568
_cell_length_c 5.5568
_cell_angle_alpha 60.00
_cell_angle_beta 60.00
_cell_angle_gamma 60.00
loop_
_space_group_symop_operation_xyz
'x,y,z'
loop_
_atom_site_label
_atom_site_type_symbol
_atom_site_fract_x
_atom_site_fract_y
_atom_site_fract_z
Rb1 Rb 0.0000 0.0000 0.0000
Tl1 Tl 0.2500 0.2500 0.2500
Tl2 Tl 0.7500 0.7500 0.7500
Cr1 Cr 0.5000 0.5000 0.5000
# * crystal system: cubic
# * total magnetic moment: 4.45 μB per formula unit
# * ΔE to the lowest computed polymorph: 16.9 meV per atom
# * N(E_F): 2.9 states/eV per cell
# * E_tot: -13.2 eV/cell

(8)
# RbTl2Cr, relaxed, DFT PBE
data_RbTl2Cr
_chemical_formula_sum 'Rb2 Tl4 Cr2'
_space_group_name_H-M_alt 'P 1'
_space_group_IT_number 1
_cell_length_a 10.2243
_cell_length_b 10.2243
_cell_length_c 10.2243
_cell_angle_alpha 144.91
_cell_angle_beta 144.91
_cell_angle_gamma 50.47
loop_
_space_group_symop_operation_xyz
'x,y,z'
loop_
_atom_site_label
_atom_site_type_symbol
_atom_site_fract_x
_atom_site_fract_y
_atom_site_fract_z
Rb1 Rb 0.3750 0.6250 0.7500
Rb2 Rb 0.6250 0.3750 0.2500
Tl1 Tl 0.0000 0.0000 0.0000
Tl2 Tl 0.0000 0.0000 0.5000
Tl3 Tl 0.0000 0.5000 0.0000
Tl4 Tl 0.5000 0.0000 0.5000
Cr1 Cr 0.1250 0.8750 0.2500
Cr2 Cr 0.8750 0.1250 0.7500
# * crystal system: tetragonal
# * total magnetic moment: 4.19 μB per formula unit
# * ΔE to the lowest computed polymorph: 0.0 meV per atom
# * N(E_F): 6.7 states/eV per cell
# * E_tot: -26.5 eV/cell

(9)
# RbTl3Cr, relaxed, DFT PBE
data_RbTl3Cr
_chemical_formula_sum 'Rb1 Tl3 Cr1'
_space_group_name_H-M_alt 'P 1'
_space_group_IT_number 1
_cell_length_a 6.2887
_cell_length_b 6.2887
_cell_length_c 6.2887
_cell_angle_alpha 90.00
_cell_angle_beta 90.00
_cell_angle_gamma 90.00
loop_
_space_group_symop_operation_xyz
'x,y,z'
loop_
_atom_site_label
_atom_site_type_symbol
_atom_site_fract_x
_atom_site_fract_y
_atom_site_fract_z
Rb1 Rb 0.0000 0.0000 0.0000
Tl1 Tl 0.0000 0.0000 0.5000
Tl2 Tl 0.0000 0.5000 0.0000
Tl3 Tl 0.5000 0.0000 0.0000
Cr1 Cr 0.5000 0.5000 0.5000
# * crystal system: cubic
# * total magnetic moment: 4.27 μB per formula unit
# * ΔE to the lowest computed polymorph: 1017.1 meV per atom
# * N(E_F): 7.3 states/eV per cell
# * E_tot: -11.4 eV/cell

(10)
# RbTlCrW2, relaxed, DFT PBE
data_RbTlCrW2
_chemical_formula_sum 'Rb1 Tl1 Cr1 W2'
_space_group_name_H-M_alt 'P 1'
_space_group_IT_number 1
_cell_length_a 4.6473
_cell_length_b 4.6473
_cell_length_c 5.4525
_cell_angle_alpha 90.00
_cell_angle_beta 90.00
_cell_angle_gamma 90.00
loop_
_space_group_symop_operation_xyz
'x,y,z'
loop_
_atom_site_label
_atom_site_type_symbol
_atom_site_fract_x
_atom_site_fract_y
_atom_site_fract_z
Rb1 Rb 0.0000 0.0000 0.0000
Tl1 Tl 0.5000 0.5000 0.0000
Cr1 Cr 0.5000 0.5000 0.5000
W1 W 0.0000 0.5000 0.5000
W2 W 0.5000 0.0000 0.5000
# * crystal system: tetragonal
# * total magnetic moment: 0.00 μB per formula unit
# * N(E_F): 4.8 states/eV per cell
# * E_tot: -30.8 eV/cell

(11)
# RbVCr3, relaxed, DFT PBE
data_RbVCr3
_chemical_formula_sum 'Rb1 V1 Cr3'
_space_group_name_H-M_alt 'P 1'
_space_group_IT_number 1
_cell_length_a 4.7519
_cell_length_b 4.7519
_cell_length_c 4.7519
_cell_angle_alpha 90.00
_cell_angle_beta 90.00
_cell_angle_gamma 90.00
loop_
_space_group_symop_operation_xyz
'x,y,z'
loop_
_atom_site_label
_atom_site_type_symbol
_atom_site_fract_x
_atom_site_fract_y
_atom_site_fract_z
Rb1 Rb 0.0000 0.0000 0.0000
V1 V 0.5000 0.5000 0.5000
Cr1 Cr 0.0000 0.0000 0.5000
Cr2 Cr 0.0000 0.5000 0.0000
Cr3 Cr 0.5000 0.0000 0.0000
# * crystal system: cubic
# * total magnetic moment: 12.51 μB per formula unit
# * ΔE to the lowest computed polymorph: 1593.7 meV per atom
# * N(E_F): 8.7 states/eV per cell
# * E_tot: -24.0 eV/cell

(12)
# Rb3VCr, relaxed, DFT PBE
data_Rb3VCr
_chemical_formula_sum 'Rb3 V1 Cr1'
_space_group_name_H-M_alt 'P 1'
_space_group_IT_number 1
_cell_length_a 6.8234
_cell_length_b 6.8234
_cell_length_c 6.8234
_cell_angle_alpha 90.00
_cell_angle_beta 90.00
_cell_angle_gamma 90.00
loop_
_space_group_symop_operation_xyz
'x,y,z'
loop_
_atom_site_label
_atom_site_type_symbol
_atom_site_fract_x
_atom_site_fract_y
_atom_site_fract_z
Rb1 Rb 0.0000 0.0000 0.5000
Rb2 Rb 0.0000 0.5000 0.0000
Rb3 Rb 0.5000 0.0000 0.0000
V1 V 0.0000 0.0000 0.0000
Cr1 Cr 0.5000 0.5000 0.5000
# * crystal system: cubic
# * total magnetic moment: 10.01 μB per formula unit
# * ΔE to the lowest computed polymorph: 0.0 meV per atom
# * N(E_F): 5.5 states/eV per cell
# * E_tot: -14.6 eV/cell

(13)
# RbV3Cr, relaxed, DFT PBE
data_RbV3Cr
_chemical_formula_sum 'Rb1 V3 Cr1'
_space_group_name_H-M_alt 'P 1'
_space_group_IT_number 1
_cell_length_a 4.4979
_cell_length_b 4.4979
_cell_length_c 4.4979
_cell_angle_alpha 90.00
_cell_angle_beta 90.00
_cell_angle_gamma 90.00
loop_
_space_group_symop_operation_xyz
'x,y,z'
loop_
_atom_site_label
_atom_site_type_symbol
_atom_site_fract_x
_atom_site_fract_y
_atom_site_fract_z
Rb1 Rb 0.0000 0.0000 0.0000
V1 V 0.0000 0.0000 0.5000
V2 V 0.0000 0.5000 0.0000
V3 V 0.5000 0.0000 0.0000
Cr1 Cr 0.5000 0.5000 0.5000
# * crystal system: cubic
# * total magnetic moment: 3.78 μB per formula unit
# * ΔE to the lowest computed polymorph: 1328.1 meV per atom
# * N(E_F): 7.0 states/eV per cell
# * E_tot: -24.4 eV/cell

(14)
# RbVCr3, relaxed, DFT PBE
data_RbVCr3
_chemical_formula_sum 'Rb1 V1 Cr3'
_space_group_name_H-M_alt 'P 1'
_space_group_IT_number 1
_cell_length_a 4.8785
_cell_length_b 4.8785
_cell_length_c 4.8785
_cell_angle_alpha 90.00
_cell_angle_beta 90.00
_cell_angle_gamma 90.00
loop_
_space_group_symop_operation_xyz
'x,y,z'
loop_
_atom_site_label
_atom_site_type_symbol
_atom_site_fract_x
_atom_site_fract_y
_atom_site_fract_z
Rb1 Rb 0.0000 0.0000 0.0000
V1 V 0.5000 0.5000 0.5000
Cr1 Cr 0.0000 0.5000 0.5000
Cr2 Cr 0.5000 0.0000 0.5000
Cr3 Cr 0.5000 0.5000 0.0000
# * crystal system: cubic
# * total magnetic moment: 9.70 μB per formula unit
# * ΔE to the lowest computed polymorph: 0.0 meV per atom
# * N(E_F): 5.0 states/eV per cell
# * E_tot: -32.0 eV/cell